A relaxed structure of CsAc2MnSe4, computed with PBE.

Values from the calculation:
size of the total moment = 4.15 μB per formula unit
ΔE_f (raw) = -1.51 eV/atom

Cell lengths 8.1413, 8.1413, 15.4226 Å; angles 90.00, 90.00, 148.37 degrees
With the nearest neighbours (Å) after each atom.
Sites, in units of the cell vectors:
Cs  0.0994  0.9006  0.7500  6 Se 3.65-3.74
Cs  0.9006  0.0994  0.2500  6 Se 3.65-3.74
Ac  0.3671  0.6329  0.5567  6 Se 3.07-3.17
Ac  0.3671  0.6329  0.9433  6 Se 3.07-3.17
Ac  0.6329  0.3671  0.0567  6 Se 3.07-3.17
Ac  0.6329  0.3671  0.4433  6 Se 3.07-3.17
Mn  0.1721  0.8279  0.2500  4 Se 2.52-2.60
Mn  0.8279  0.1721  0.7500  4 Se 2.52-2.60
Se  0.0000  0.0000  0.0000  4 Ac 3.17
Se  0.0000  0.0000  0.5000  4 Ac 3.17
Se  0.2620  0.7380  0.1148  1 Mn 2.52
Se  0.2620  0.7380  0.3852  1 Mn 2.52
Se  0.4146  0.5854  0.7500  2 Mn 2.60
Se  0.5854  0.4146  0.2500  2 Mn 2.60
Se  0.7380  0.2620  0.6148  1 Mn 2.52
Se  0.7380  0.2620  0.8852  1 Mn 2.52


A relaxed structure of CsAcMnSe4, computed with PBE.

Values from the calculation:
size of the total moment = 3.33 μB per formula unit
ΔE_f (raw) = -1.03 eV/atom

Cell lengths 9.3424, 9.3424, 6.8554 Å; angles 90.00, 90.00, 136.60 degrees
With the nearest neighbours (Å) after each atom.
Sites, in units of the cell vectors:
Cs  0.0980  0.9020  0.7500  9 Se 3.40-3.59
Cs  0.9020  0.0980  0.2500  9 Se 3.40-3.59
Ac  0.3882  0.6118  0.7500  1 Se 3.04
Ac  0.6118  0.3882  0.2500  1 Se 3.04
Mn  0.2327  0.7673  0.2500  5 Se 2.34-2.45
Mn  0.7673  0.2327  0.7500  5 Se 2.34-2.45
Se  0.0000  0.5000  0.0000  2 Mn 2.45
Se  0.0000  0.5000  0.5000  2 Mn 2.45
Se  0.0977  0.9023  0.2500  1 Mn 2.34
Se  0.4368  0.5632  0.2500  1 Ac 3.04
Se  0.5000  0.0000  0.0000  2 Mn 2.45
Se  0.5000  0.0000  0.5000  2 Mn 2.45
Se  0.5632  0.4368  0.7500  1 Ac 3.04
Se  0.9023  0.0977  0.7500  1 Mn 2.34


A relaxed structure of CsAc2MnTe4, computed with PBE.

Values from the calculation:
size of the total moment = 4.17 μB per formula unit
ΔE_f (raw) = -1.18 eV/atom

Cell lengths 8.6317, 8.6317, 16.4205 Å; angles 90.00, 90.00, 148.44 degrees
With the nearest neighbours (Å) after each atom.
Sites, in units of the cell vectors:
Cs  0.1026  0.8974  0.7500  6 Te 3.82-3.90
Cs  0.8974  0.1026  0.2500  6 Te 3.82-3.90
Ac  0.3667  0.6333  0.5577  6 Te 3.29-3.36
Ac  0.3667  0.6333  0.9423  6 Te 3.29-3.36
Ac  0.6333  0.3667  0.0577  6 Te 3.29-3.36
Ac  0.6333  0.3667  0.4423  6 Te 3.29-3.36
Mn  0.1681  0.8319  0.2500  4 Te 2.71-2.78
Mn  0.8319  0.1681  0.7500  4 Te 2.71-2.78
Te  0.0000  0.0000  0.0000  4 Ac 3.36
Te  0.0000  0.0000  0.5000  4 Ac 3.36
Te  0.2642  0.7358  0.1164  1 Mn 2.71
Te  0.2642  0.7358  0.3836  1 Mn 2.71
Te  0.4215  0.5785  0.7500  2 Mn 2.78
Te  0.5785  0.4215  0.2500  2 Mn 2.78
Te  0.7358  0.2642  0.6164  1 Mn 2.71
Te  0.7358  0.2642  0.8836  1 Mn 2.71


A relaxed structure of CsAcMnTe3, computed with PBE.

Values from the calculation:
size of the total moment = 5.00 μB per formula unit
ΔE_f (raw) = -1.04 eV/atom

Cell lengths 10.6807, 4.7667, 11.0585 Å; angles 90.00, 107.61, 90.00 degrees
With the nearest neighbours (Å) after each atom.
Sites, in units of the cell vectors:
Cs  0.2026  0.2500  0.2366  7 Te 3.90-4.08
Cs  0.7974  0.7500  0.7634  7 Te 3.90-4.08
Ac  0.3305  0.7500  0.8536  6 Te 3.31-3.44
Ac  0.6695  0.2500  0.1464  6 Te 3.31-3.44
Mn  0.0829  0.2500  0.6042  4 Te 2.68-2.83
Mn  0.9171  0.7500  0.3958  4 Te 2.68-2.83
Te  0.1099  0.2500  0.8534  1 Mn 2.68
Te  0.1839  0.7500  0.5306  3 Mn 2.79-2.83
Te  0.4613  0.7500  0.1657  3 Ac 3.31
Te  0.5387  0.2500  0.8343  3 Ac 3.31
Te  0.8161  0.2500  0.4694  3 Mn 2.79-2.83
Te  0.8901  0.7500  0.1466  1 Mn 2.68


A relaxed structure of CsAc2Mo2N6, computed with PBE.

Values from the calculation:
size of the total moment = 1.06 μB per formula unit
ΔE_f (raw) = -0.52 eV/atom

Cell lengths 6.6900, 7.0624, 7.1192 Å; angles 93.40, 114.96, 116.67 degrees
With the nearest neighbours (Å) after each atom.
Sites, in units of the cell vectors:
Cs  0.0000  0.0000  0.0000  4 N 3.12-3.19
Ac  0.3814  0.6835  0.2894  4 N 2.52-2.77
Ac  0.6186  0.3165  0.7106  4 N 2.52-2.77
Mo  0.2249  0.6637  0.6820  3 N 1.83-1.86
Mo  0.7751  0.3363  0.3180  3 N 1.83-1.86
N  0.1326  0.6508  0.8949  1 Mo 1.86
N  0.2870  0.8957  0.5674  1 Mo 1.83
N  0.4405  0.5697  0.6835  1 Mo 1.84
N  0.5595  0.4303  0.3165  1 Mo 1.84
N  0.7130  0.1043  0.4326  1 Mo 1.83
N  0.8674  0.3492  0.1051  1 Mo 1.86


- The lowest size of the total moment belongs to which entry?
  CsAc2Mo2N6